La2Ge5Ir3 | PBE-GGA | optimized geometry

extended XYZ file:
```
20
Lattice="-0.254 5.338 3.020 7.541 -3.821 1.151 1.798 1.224 -8.250" Properties=species:S:1:pos:R:3 pbc="T T T"
La 6.011 -0.001 -5.730
La 7.397 1.338 -1.742
Ir 4.739 2.381 -3.809
Ir -0.064 1.334 0.755
La 1.687 1.402 -2.336
Ir 6.478 -1.704 -2.681
Ge 6.175 -1.343 -0.226
Ge 2.014 -0.081 0.312
Ge 3.037 1.415 -5.363
Ge 6.048 1.326 1.285
Ir 2.606 4.445 -1.398
La 3.074 2.741 1.652
Ge 7.070 2.821 -4.391
Ge 8.364 -0.872 -3.991
Ir -0.191 4.003 2.265
Ge 0.721 3.613 -0.087
Ge 2.909 4.084 -3.853
Ge 4.606 0.036 -2.794
Ge 4.479 2.705 -1.284
Ir 4.345 0.360 -0.270
```

Computed properties:
The calculation puts the total energy at -6.7311 eV per atom.

---

RbTm4AsP2 | PBE-GGA | optimized geometry

extended XYZ file:
```
8
Lattice="2.305 1.331 12.537 -2.305 1.331 12.537 0.000 -2.661 12.537" Properties=species:S:1:pos:R:3 pbc="T T T"
P 0.000 0.000 8.764
Rb 0.000 0.000 18.805
P 0.000 0.000 28.846
Tm 0.000 0.000 26.061
Tm 0.000 0.000 3.047
As 0.000 0.000 0.000
Tm 0.000 0.000 34.563
Tm 0.000 0.000 11.549
```

Computed properties:
The calculation puts the total energy at -5.1032 eV per atom.

---

CsFeNiP2 | PBE-GGA | optimized geometry

extended XYZ file:
```
5
Lattice="4.954 3.580 4.727 0.858 6.723 3.711 -4.179 -6.138 -2.138" Properties=species:S:1:pos:R:3 pbc="T T T"
P 3.877 6.873 5.629
Ni 1.841 1.297 3.404
Cs 0.000 0.000 0.000
P 1.935 3.430 2.809
Fe -0.207 2.869 2.896
```

Computed properties:
The calculation puts the total energy at -5.6367 eV per atom.

---

TbYGa2Ir4 | PBE-GGA | optimized geometry

extended XYZ file:
```
8
Lattice="4.340 0.000 0.000 -2.170 3.759 0.000 0.000 0.000 9.040" Properties=species:S:1:pos:R:3 pbc="T T T"
Ir 2.170 1.253 7.539
Ga 0.000 2.506 2.261
Tb 0.000 0.000 0.000
Ga 0.000 2.506 6.778
Ir 2.170 1.253 1.501
Y 2.170 1.253 4.520
Ir 0.000 0.000 6.023
Ir 0.000 0.000 3.017
```

Computed properties:
The energy above the most stable polymorph in this dataset comes out at 0.000 eV/atom.

---

RbSrHoS3 | PBE-GGA | optimized geometry

extended XYZ file:
```
12
Lattice="-2.586 8.875 -1.452 -4.304 8.029 2.138 10.611 -2.063 4.592" Properties=species:S:1:pos:R:3 pbc="T T T"
S 4.154 4.529 3.055
S 0.842 4.332 1.424
Sr 1.076 1.603 0.893
Rb 4.160 7.735 3.814
S -3.445 8.452 0.343
S 2.879 10.510 3.855
S 5.305 -1.032 2.296
S -0.434 10.313 2.223
Sr 2.644 13.238 4.385
Ho -1.102 13.193 2.582
Rb -0.439 7.107 1.465
Ho 4.822 1.649 2.696
```

Computed properties:
The calculation puts the total energy at -5.0599 eV per atom.

---

Sc3AuN | PBE-GGA | optimized geometry

extended XYZ file:
```
5
Lattice="4.398 0.000 0.000 0.000 4.398 0.000 0.000 0.000 4.398" Properties=species:S:1:pos:R:3 pbc="T T T"
Sc 2.199 2.199 0.000
Au 0.000 0.000 0.000
Sc 0.000 2.199 2.199
N 2.199 2.199 2.199
Sc 2.199 0.000 2.199
```

Computed properties:
The calculation puts the total energy at -7.2703 eV per atom.

---

TbNdGa4Ir2 | PBE-GGA | optimized geometry

extended XYZ file:
```
8
Lattice="-3.930 1.492 -0.404 -2.255 -4.625 4.865 2.869 2.752 3.947" Properties=species:S:1:pos:R:3 pbc="T T T"
Ga -0.059 1.051 4.126
Ir -2.582 0.449 4.383
Nd -1.186 3.754 3.019
Tb -0.999 -1.816 2.964
Ir 0.393 1.487 1.595
Ga -3.499 -1.932 4.797
Ga -2.142 0.852 1.869
Ga -0.934 -0.743 6.013
```

Computed properties:
The calculation puts the total energy at -5.6201 eV per atom.

---

PmHfPO | PBE-GGA | optimized geometry

extended XYZ file:
```
8
Lattice="4.062 0.000 0.000 0.000 7.217 0.000 0.000 0.000 5.864" Properties=species:S:1:pos:R:3 pbc="T T T"
Pm 2.031 2.104 5.578
Hf 0.000 0.814 2.950
P 2.031 2.302 2.625
P 2.031 4.915 5.557
O 0.000 6.165 2.062
Hf 0.000 6.403 0.018
O 0.000 1.052 4.994
Pm 2.031 5.113 2.647
```

Computed properties:
The energy above the most stable polymorph in this dataset comes out at 0.191 eV/atom.